No. 1
This record from Alexandria describes a geometry-optimized TcSbWI2 structure. The functional is GGA-PBE.

a = 5.581 Å, b = 5.581 Å, c = 5.325 Å
α = 90.00°, β = 90.00°, γ = 90.00°
Positions (direct):
1 Tc 0.000 0.000 0.000
2 Sb 0.500 0.500 0.000
3 W 0.500 0.500 0.500
4 I 0.000 0.500 0.500
5 I 0.500 0.000 0.500

Properties
- E_form (uncorrected): 1.561 eV/atom
- SG: No. 123
- Energy above the lowest structure with this stoichiometry: 0.00 kcal/mol of atoms
- Electronic total energy: -4.55 eV per atom

***

No. 2
This record from Alexandria describes a geometry-optimized YTcSbI2 structure. The functional is GGA-PBE.

a = 5.422 Å, b = 5.422 Å, c = 5.154 Å
α = 90.00°, β = 90.00°, γ = 90.00°
Positions (direct):
1 Y 0.000 0.000 0.000
2 Tc 0.500 0.500 0.500
3 Sb 0.500 0.500 0.000
4 I 0.000 0.500 0.500
5 I 0.500 0.000 0.500

Properties
- E_form (uncorrected): 0.317 eV/atom
- SG: No. 123
- Energy above the lowest structure with this stoichiometry: 0.00 kcal/mol of atoms
- Electronic total energy: -4.49 eV per atom

***

No. 3
This record from Alexandria describes a geometry-optimized YTcSbI2 structure. The functional is GGA-PBE.

a = 5.826 Å, b = 5.826 Å, c = 6.159 Å
α = 90.00°, β = 90.00°, γ = 90.00°
Positions (direct):
1 Y 0.000 0.000 0.000
2 Tc 0.500 0.500 0.500
3 Sb 0.000 0.000 0.500
4 I 0.000 0.500 0.000
5 I 0.500 0.000 0.000

Properties
- E_form (uncorrected): 0.578 eV/atom
- SG: No. 123
- Energy above the lowest structure with this stoichiometry: 6.03 kcal/mol of atoms
- Electronic total energy: -4.23 eV per atom

***

No. 4
This record from Alexandria describes a geometry-optimized YTcSb2I structure. The functional is GGA-PBE.

a = 5.118 Å, b = 5.118 Å, c = 5.645 Å
α = 90.00°, β = 90.00°, γ = 90.00°
Positions (direct):
1 Y 0.000 0.000 0.000
2 Tc 0.500 0.500 0.500
3 Sb 0.000 0.500 0.500
4 Sb 0.500 0.000 0.500
5 I 0.500 0.500 0.000

Properties
- E_form (uncorrected): 0.245 eV/atom
- SG: No. 123
- Energy above the lowest structure with this stoichiometry: 0.00 kcal/mol of atoms
- Electronic total energy: -5.08 eV per atom

***

No. 5
This record from Alexandria describes a geometry-optimized YTcSb2I structure. The functional is GGA-PBE.

a = 5.856 Å, b = 5.856 Å, c = 5.782 Å
α = 90.00°, β = 90.00°, γ = 90.00°
Positions (direct):
1 Y 0.000 0.000 0.000
2 Tc 0.500 0.500 0.500
3 Sb 0.000 0.500 0.000
4 Sb 0.500 0.000 0.000
5 I 0.000 0.000 0.500

Properties
- E_form (uncorrected): 0.933 eV/atom
- SG: No. 123
- Energy above the lowest structure with this stoichiometry: 15.86 kcal/mol of atoms
- Electronic total energy: -4.39 eV per atom

***

No. 6
This record from Alexandria describes a geometry-optimized ZnTcSb2I structure. The functional is GGA-PBE.

a = 5.078 Å, b = 5.078 Å, c = 5.936 Å
α = 90.00°, β = 90.00°, γ = 90.00°
Positions (direct):
1 Zn 0.000 0.000 0.000
2 Tc 0.500 0.500 0.500
3 Sb 0.000 0.500 0.500
4 Sb 0.500 0.000 0.500
5 I 0.500 0.500 0.000

Properties
- E_form (uncorrected): 0.504 eV/atom
- SG: No. 123
- Energy above the lowest structure with this stoichiometry: 0.00 kcal/mol of atoms
- Electronic total energy: -3.78 eV per atom

***

No. 7
This record from Alexandria describes a geometry-optimized ZnTcSb2I structure. The functional is GGA-PBE.

a = 5.161 Å, b = 5.161 Å, c = 5.605 Å
α = 90.00°, β = 90.00°, γ = 90.00°
Positions (direct):
1 Zn 0.000 0.000 0.000
2 Tc 0.500 0.500 0.500
3 Sb 0.000 0.500 0.000
4 Sb 0.500 0.000 0.000
5 I 0.000 0.000 0.500

Properties
- E_form (uncorrected): 1.181 eV/atom
- SG: No. 123
- Energy above the lowest structure with this stoichiometry: 15.62 kcal/mol of atoms
- Electronic total energy: -3.11 eV per atom

***

No. 8
This record from Alexandria describes a geometry-optimized ZrTcSb2I structure. The functional is GGA-PBE.

a = 5.077 Å, b = 5.077 Å, c = 5.611 Å
α = 90.00°, β = 90.00°, γ = 90.00°
Positions (direct):
1 Zr 0.000 0.000 0.000
2 Tc 0.500 0.500 0.500
3 Sb 0.000 0.500 0.500
4 Sb 0.500 0.000 0.500
5 I 0.500 0.500 0.000

Properties
- E_form (uncorrected): 0.757 eV/atom
- SG: No. 123
- Energy above the lowest structure with this stoichiometry: 0.00 kcal/mol of atoms
- Electronic total energy: -4.99 eV per atom

***

No. 9
This record from Alexandria describes a geometry-optimized ZrTcSbI2 structure. The functional is GGA-PBE.

a = 5.613 Å, b = 5.613 Å, c = 5.794 Å
α = 90.00°, β = 90.00°, γ = 90.00°
Positions (direct):
1 Zr 0.000 0.000 0.000
2 Tc 0.500 0.500 0.500
3 Sb 0.000 0.000 0.500
4 I 0.000 0.500 0.000
5 I 0.500 0.000 0.000

Properties
- E_form (uncorrected): 0.832 eV/atom
- SG: No. 123
- Energy above the lowest structure with this stoichiometry: 0.00 kcal/mol of atoms
- Electronic total energy: -4.40 eV per atom

***

No. 10
This record from Alexandria describes a geometry-optimized Sb3Te3I structure. The functional is GGA-PBE.

a = 11.024 Å, b = 11.024 Å, c = 11.024 Å
α = 109.47°, β = 109.47°, γ = 109.47°
Positions (direct):
1 Sb 0.000 0.264 0.514
2 Sb 0.000 0.514 0.264
3 Sb 0.250 0.736 0.736
4 Sb 0.264 0.000 0.514
5 Sb 0.264 0.514 0.000
6 Sb 0.486 0.486 0.750
7 Sb 0.486 0.750 0.486
8 Sb 0.514 0.000 0.264
9 Sb 0.514 0.264 0.000
10 Sb 0.736 0.250 0.736
11 Sb 0.736 0.736 0.250
12 Sb 0.750 0.486 0.486
13 Te 0.000 0.499 0.738
14 Te 0.000 0.738 0.499
15 Te 0.239 0.501 0.501
16 Te 0.262 0.262 0.761
17 Te 0.262 0.761 0.262
18 Te 0.499 0.000 0.738
19 Te 0.499 0.738 0.000
20 Te 0.501 0.239 0.501
21 Te 0.501 0.501 0.239
22 Te 0.738 0.000 0.499
23 Te 0.738 0.499 0.000
24 Te 0.761 0.262 0.262
25 I 0.000 0.000 0.260
26 I 0.000 0.260 0.000
27 I 0.260 0.000 0.000
28 I 0.740 0.740 0.740

Properties
- E_form (uncorrected): -0.091 eV/atom
- SG: No. 217
- Electronic total energy: -3.43 eV per atom

***

No. 11
This record from Alexandria describes a geometry-optimized SbTe2I structure. The functional is GGA-PBE.

a = 14.404 Å, b = 14.404 Å, c = 14.404 Å
α = 13.31°, β = 13.31°, γ = 13.31°
Positions (direct):
1 Sb 0.000 0.000 0.000
2 Te 0.072 0.072 0.072
3 Te 0.928 0.928 0.928
4 I 0.500 0.500 0.500

Properties
- E_form (uncorrected): 0.221 eV/atom
- SG: No. 166
- Energy above the lowest structure with this stoichiometry: 6.97 kcal/mol of atoms
- Electronic total energy: -2.77 eV per atom

***

No. 12
This record from Alexandria describes a geometry-optimized SbTeI structure. The functional is GGA-PBE.

a = 8.211 Å, b = 8.211 Å, c = 8.858 Å
α = 120.75°, β = 120.75°, γ = 29.66°
Positions (direct):
1 Sb 0.121 0.121 0.300
2 Sb 0.879 0.879 0.700
3 Te 0.357 0.357 0.454
4 Te 0.643 0.643 0.546
5 I 0.101 0.101 0.892
6 I 0.899 0.899 0.108

Properties
- E_form (uncorrected): -0.140 eV/atom
- SG: No. 12
- Electronic total energy: -3.08 eV per atom

***

No. 13
This record from Alexandria describes a geometry-optimized SbTe2I8 structure. The functional is GGA-PBE.

a = 8.496 Å, b = 8.496 Å, c = 8.374 Å
α = 92.53°, β = 92.53°, γ = 57.33°
Positions (direct):
1 Sb 0.000 0.000 0.000
2 Te 0.140 0.140 0.455
3 Te 0.860 0.860 0.545
4 I 0.198 0.198 0.134
5 I 0.202 0.708 0.253
6 I 0.292 0.798 0.747
7 I 0.308 0.308 0.601
8 I 0.692 0.692 0.399
9 I 0.708 0.202 0.253
10 I 0.798 0.292 0.747
11 I 0.802 0.802 0.866

Properties
- E_form (uncorrected): -0.058 eV/atom
- SG: No. 12
- Electronic total energy: -2.13 eV per atom

***

No. 14
This record from Alexandria describes a geometry-optimized SbTeI structure. The functional is GGA-PBE.

a = 7.717 Å, b = 7.717 Å, c = 9.758 Å
α = 129.17°, β = 129.17°, γ = 32.38°
Positions (direct):
1 Sb 0.130 0.130 0.003
2 Sb 0.870 0.870 0.997
3 Te 0.185 0.185 0.772
4 Te 0.815 0.815 0.228
5 I 0.428 0.428 0.721
6 I 0.572 0.572 0.279

Properties
- E_form (uncorrected): -0.222 eV/atom
- SG: No. 12
- Electronic total energy: -3.16 eV per atom

***

No. 15
This record from Alexandria describes a geometry-optimized SbTeI3 structure. The functional is GGA-PBE.

a = 6.038 Å, b = 6.038 Å, c = 6.038 Å
α = 90.00°, β = 90.00°, γ = 90.00°
Positions (direct):
1 Sb 0.000 0.000 0.000
2 Te 0.500 0.500 0.500
3 I 0.000 0.000 0.500
4 I 0.000 0.500 0.000
5 I 0.500 0.000 0.000

Properties
- E_form (uncorrected): 0.244 eV/atom
- SG: No. 221
- Energy above the lowest structure with this stoichiometry: 0.00 kcal/mol of atoms
- Electronic total energy: -2.14 eV per atom

***

No. 16
This record from Alexandria describes a geometry-optimized SbTeI structure. The functional is GGA-PBE.

a = 6.375 Å, b = 6.691 Å, c = 6.850 Å
α = 95.02°, β = 97.70°, γ = 108.33°
Positions (direct):
1 Sb 0.000 0.000 0.000
2 Sb 0.120 0.645 0.141
3 Te 0.601 0.723 0.214
4 Te 0.998 0.655 0.735
5 I 0.445 0.283 0.925
6 I 0.751 0.125 0.462

Properties
- E_form (uncorrected): -0.025 eV/atom
- SG: No. 1
- Electronic total energy: -2.96 eV per atom

***

No. 17
This record from Alexandria describes a geometry-optimized Sb2TeI3 structure. The functional is GGA-PBE.

a = 11.039 Å, b = 11.039 Å, c = 15.299 Å
α = 128.55°, β = 128.55°, γ = 22.55°
Positions (direct):
1 Sb 0.116 0.116 0.350
2 Sb 0.379 0.379 0.098
3 Sb 0.621 0.621 0.902
4 Sb 0.884 0.884 0.650
5 Te 0.044 0.044 0.725
6 Te 0.956 0.956 0.275
7 I 0.219 0.219 0.092
8 I 0.335 0.335 0.472
9 I 0.411 0.411 0.813
10 I 0.589 0.589 0.187
11 I 0.665 0.665 0.528
12 I 0.781 0.781 0.908

Properties
- E_form (uncorrected): -0.148 eV/atom
- SG: No. 12
- Electronic total energy: -2.82 eV per atom

***

No. 18
This record from Alexandria describes a geometry-optimized Sb2TeI2 structure. The functional is GGA-PBE.

a = 10.251 Å, b = 6.421 Å, c = 13.310 Å
α = 90.00°, β = 90.00°, γ = 90.00°
Positions (direct):
1 Sb 0.117 0.250 0.060
2 Sb 0.130 0.250 0.730
3 Sb 0.370 0.750 0.230
4 Sb 0.383 0.750 0.560
5 Sb 0.617 0.250 0.440
6 Sb 0.630 0.250 0.770
7 Sb 0.870 0.750 0.270
8 Sb 0.883 0.750 0.940
9 Te 0.209 0.750 0.396
10 Te 0.291 0.250 0.896
11 Te 0.709 0.750 0.104
12 Te 0.791 0.250 0.604
13 I 0.126 0.750 0.705
14 I 0.131 0.750 0.077
15 I 0.369 0.250 0.577
16 I 0.374 0.250 0.205
17 I 0.626 0.750 0.795
18 I 0.631 0.750 0.423
19 I 0.869 0.250 0.923
20 I 0.874 0.250 0.295

Properties
- E_form (uncorrected): 0.054 eV/atom
- SG: No. 62
- Energy above the lowest structure with this stoichiometry: 0.00 kcal/mol of atoms
- Electronic total energy: -2.84 eV per atom

***

No. 19
This record from Alexandria describes a geometry-optimized SbTe2I structure. The functional is GGA-PBE.

a = 9.776 Å, b = 9.776 Å, c = 9.776 Å
α = 26.30°, β = 26.30°, γ = 26.30°
Positions (direct):
1 Sb 0.000 0.000 0.000
2 Te 0.395 0.395 0.395
3 Te 0.605 0.605 0.605
4 I 0.500 0.500 0.500

Properties
- E_form (uncorrected): -0.015 eV/atom
- SG: No. 166
- Energy above the lowest structure with this stoichiometry: 1.52 kcal/mol of atoms
- Electronic total energy: -3.00 eV per atom

***

No. 20
This record from Alexandria describes a geometry-optimized SbTe2I structure. The functional is GGA-PBE.

a = 7.344 Å, b = 7.344 Å, c = 7.344 Å
α = 111.03°, β = 111.03°, γ = 106.39°
Positions (direct):
1 Sb 0.000 0.000 0.000
2 Sb 0.750 0.250 0.500
3 Te 0.082 0.625 0.957
4 Te 0.375 0.332 0.457
5 Te 0.668 0.125 0.043
6 Te 0.875 0.918 0.543
7 I 0.250 0.750 0.500
8 I 0.500 0.500 0.000

Properties
- E_form (uncorrected): 0.152 eV/atom
- SG: No. 122
- Energy above the lowest structure with this stoichiometry: 5.38 kcal/mol of atoms
- Electronic total energy: -2.84 eV per atom